First-principles (PBE) data for crystalline Cs2HoPd3F12 at its relaxed geometry, as listed in Alexandria via LeMat-Bulk.

Values from the calculation:
The volume is 346.0 Å³/cell. As for the raw formation energy: -2.22 eV/atom. Its symmetry is R-3m (166).

Unit cell a=8.023 b=8.023 c=8.023 alpha=57.71 beta=57.71 gamma=57.71
Positions (direct):
Cs1 0.119 0.119 0.119
Cs2 0.881 0.881 0.881
Ho1 0.500 0.500 0.500
Pd1 0.000 0.500 0.500
Pd2 0.500 0.000 0.500
Pd3 0.500 0.500 0.000
F1 0.169 0.579 0.579
F2 0.175 0.175 0.579
F3 0.175 0.579 0.175
F4 0.421 0.421 0.831
F5 0.421 0.825 0.825
F6 0.421 0.831 0.421
F7 0.579 0.169 0.579
F8 0.579 0.175 0.175
F9 0.579 0.579 0.169
F10 0.825 0.421 0.825
F11 0.825 0.825 0.421
F12 0.831 0.421 0.421